Th2AsP3Ir4, relaxed, DFT GGA-PBE; SG = P-4m2, No. 115; DFT formation energy = -0.949 eV per atom; magnetization = 0.0 μB/cell
1.0
-1.703 -0.936 3.751
3.866 -0.472 1.637
0.132 9.476 2.423
Th As P Ir
2 1 3 4
direct
0.500 0.000 0.250
0.000 0.500 0.750
0.500 0.500 0.500
0.000 0.000 0.500
0.500 0.000 0.862
0.000 0.500 0.138
0.500 0.500 0.000
0.000 0.000 0.000
0.500 0.000 0.622
0.000 0.500 0.378